1.
# KCuIr2

An optimized crystal structure of KCuIr2 (GGA-PBE, Alexandria via LeMat-Bulk).

**Final energy**: -0.1949 hartree per atom
**Space-group type**: Pmm2, No. 25

Cell lengths 3.8359, 2.7625, 7.5332 Å; angles 90.00, 90.00, 90.00 degrees
Fractional coordinates of all 4 atoms:
Cu 0.5000 0.5000 0.8232
Ir 0.0000 0.0000 0.0206
Ir 0.5000 0.5000 0.1580
K 0.0000 0.0000 0.4982


2.
# Ge2MoPd

An optimized crystal structure of Ge2MoPd (GGA-PBE, Alexandria via LeMat-Bulk).

**Final energy**: -0.2323 hartree per atom
**Space-group type**: R-3m, No. 166

Cell lengths 2.9649, 2.9649, 9.0774 Å; angles 80.60, 80.60, 60.00 degrees
Fractional coordinates of all 4 atoms:
Mo 0.5000 0.5000 0.5000
Ge 0.0908 0.0908 0.7277
Ge 0.9092 0.9092 0.2723
Pd 0.0000 0.0000 0.0000


3.
# Al3TcMo

An optimized crystal structure of Al3TcMo (GGA-PBE, Alexandria via LeMat-Bulk).

**Final energy**: -0.2110 hartree per atom
**Space-group type**: Pm-3m, No. 221

Cell lengths 4.6310, 4.6310, 4.6310 Å; angles 90.00, 90.00, 90.00 degrees
Fractional coordinates of all 5 atoms:
Mo 0.5000 0.5000 0.5000
Tc 0.0000 0.0000 0.0000
Al 0.0000 0.5000 0.0000
Al 0.0000 0.0000 0.5000
Al 0.5000 0.0000 0.0000